This record from the Alexandria database describes crystalline Ac4TbPm3Se8 at its relaxed geometry. The functional is PBE.

Geometry as POSCAR:
```
Ac4TbPm3Se8
1.0
4.295 2.480 7.128
-4.295 2.480 7.128
0.000 -4.960 7.128
Ac Tb Pm Se
4 1 3 8
direct
0.000 0.000 0.000
0.000 0.500 0.500
0.500 0.000 0.500
0.500 0.500 0.000
0.500 0.500 0.500
0.000 0.000 0.500
0.000 0.500 0.000
0.500 0.000 0.000
0.244 0.244 0.244
0.247 0.740 0.740
0.260 0.260 0.753
0.260 0.753 0.260
0.740 0.247 0.740
0.740 0.740 0.247
0.753 0.260 0.260
0.756 0.756 0.756
```

Calculated density ... 7776 kg/m³
Formation energy from raw total energies ... -1.83 eV/atom
Space-group type ... No. 166

***

This record from the Alexandria database describes crystalline Ac2La6Nd at its relaxed geometry. The functional is PBE.

Geometry as POSCAR:
```
Ac2La6Nd
1.0
6.645 0.000 0.000
-3.323 5.755 0.000
0.000 0.000 9.959
Ac La Nd
2 6 1
direct
0.333 0.667 0.000
0.667 0.333 0.000
0.000 0.371 0.688
0.000 0.629 0.312
0.371 0.000 0.688
0.371 0.371 0.312
0.629 0.000 0.312
0.629 0.629 0.688
0.000 0.000 0.500
```

Formation energy from the elements ... 0.36 eV per atom
Calculated density ... 6242 kg/m³
Space-group type ... No. 162